# Ca2LaPdRh

A relaxed structure of Ca2LaPdRh (PBE-GGA, Alexandria via LeMat-Bulk).

## Properties
E   -0.3343 Ry per atom
Energy of formation   -0.2538 eV/atom

Cell lengths 5.3462, 5.3462, 5.5319 Å; angles 90.00, 90.00, 90.00 degrees
With the nearest neighbours (Å) after each atom.
Sites, in units of the cell vectors:
Ca 0.0000 0.5000 0.9408  2 Rh 2.71
Ca 0.5000 0.0000 0.9408  2 Rh 2.71
La 0.0000 0.0000 0.4760  1 Rh 2.50
Pd 0.5000 0.5000 0.6175  4 Ca 3.22
Rh 0.0000 0.0000 0.0249  1 La 2.50, 4 Ca 2.71